Below is a relaxed structure of Cs5Cd2Hg4, with properties calculated at the GGA-PBE level.

a b c (Å): 12.302 12.302 9.427
angles (deg): 106.21 106.21 25.14
Fractional positions:
Cs 0.000 0.000 0.000
Cs 0.336 0.336 0.062
Cs 0.348 0.348 0.582
Cs 0.652 0.652 0.418
Cs 0.664 0.664 0.938
Cd 0.062 0.062 0.625
Cd 0.938 0.938 0.375
Hg 0.202 0.202 0.701
Hg 0.489 0.489 0.324
Hg 0.511 0.511 0.676
Hg 0.798 0.798 0.299

Output
- DOS(E_F) (states/eV/atom) = 0.70
- energy of formation (meV per atom) = -133

=====

Below is a relaxed structure of CsCd12Hg4, with properties calculated at the GGA-PBE level.

a b c (Å): 8.754 8.754 8.754
angles (deg): 109.47 109.47 109.47
Fractional positions:
Cs 0.000 0.000 0.000
Cd 0.150 0.356 0.506
Cd 0.150 0.644 0.794
Cd 0.206 0.850 0.356
Cd 0.356 0.206 0.850
Cd 0.356 0.506 0.150
Cd 0.494 0.850 0.644
Cd 0.506 0.150 0.356
Cd 0.644 0.494 0.850
Cd 0.644 0.794 0.150
Cd 0.794 0.150 0.644
Cd 0.850 0.356 0.206
Cd 0.850 0.644 0.494
Hg 0.000 0.000 0.500
Hg 0.000 0.500 0.000
Hg 0.500 0.000 0.000
Hg 0.500 0.500 0.500

Output
- DOS(E_F) (states/eV/atom) = 0.35
- energy of formation (meV per atom) = 76

=====

Below is a relaxed structure of Cs4Cd2Hg, with properties calculated at the GGA-PBE level.

a b c (Å): 10.628 10.628 10.628
angles (deg): 139.26 139.26 58.98
Fractional positions:
Cs 0.000 0.500 0.500
Cs 0.209 0.209 0.000
Cs 0.500 0.000 0.500
Cs 0.791 0.791 0.000
Cd 0.419 0.419 0.000
Cd 0.581 0.581 0.000
Hg 0.000 0.000 0.000

Output
- polymorph energy (0 for the lowest one) (eV/atom) = 0.0512
- DOS(E_F) (states/eV/atom) = 0.93
- energy of formation (meV per atom) = -16

=====

Below is a relaxed structure of Cs3Cd2Hg4, with properties calculated at the GGA-PBE level.

a b c (Å): 7.406 7.406 10.564
angles (deg): 102.86 102.86 43.44
Fractional positions:
Cs 0.000 0.000 0.000
Cs 0.336 0.336 0.329
Cs 0.664 0.664 0.671
Cd 0.387 0.387 0.715
Cd 0.613 0.613 0.285
Hg 0.061 0.061 0.390
Hg 0.281 0.281 0.942
Hg 0.719 0.719 0.058
Hg 0.939 0.939 0.610

Output
- polymorph energy (0 for the lowest one) (eV/atom) = 0.0113
- DOS(E_F) (states/eV/atom) = 0.70
- energy of formation (meV per atom) = -182

=====

Below is a relaxed structure of Cs12Cd6Hg, with properties calculated at the GGA-PBE level.

a b c (Å): 11.863 11.863 11.863
angles (deg): 109.47 109.47 109.47
Fractional positions:
Cs 0.111 0.297 0.814
Cs 0.186 0.483 0.297
Cs 0.186 0.889 0.703
Cs 0.297 0.186 0.483
Cs 0.297 0.814 0.111
Cs 0.483 0.297 0.186
Cs 0.517 0.703 0.814
Cs 0.703 0.186 0.889
Cs 0.703 0.814 0.517
Cs 0.814 0.111 0.297
Cs 0.814 0.517 0.703
Cs 0.889 0.703 0.186
Cd 0.108 0.500 0.608
Cd 0.392 0.892 0.500
Cd 0.500 0.392 0.892
Cd 0.500 0.608 0.108
Cd 0.608 0.108 0.500
Cd 0.892 0.500 0.392
Hg 0.000 0.000 0.000

Output
- DOS(E_F) (states/eV/atom) = 0.77
- energy of formation (meV per atom) = -33

=====

Below is a relaxed structure of CsCdHg, with properties calculated at the GGA-PBE level.

a b c (Å): 5.362 5.362 5.147
angles (deg): 90.00 90.00 120.00
Fractional positions:
Cs 0.000 0.000 0.000
Cd 0.667 0.333 0.500
Hg 0.333 0.667 0.500

Output
- polymorph energy (0 for the lowest one) (eV/atom) = 0.0000
- DOS(E_F) (states/eV/atom) = 0.93
- energy of formation (meV per atom) = -142

=====

Below is a relaxed structure of CsCd3Hg2, with properties calculated at the GGA-PBE level.

a b c (Å): 6.440 6.440 5.271
angles (deg): 90.00 90.00 120.00
Fractional positions:
Cs 0.000 0.000 0.000
Cd 0.000 0.500 0.500
Cd 0.500 0.000 0.500
Cd 0.500 0.500 0.500
Hg 0.333 0.667 0.000
Hg 0.667 0.333 0.000

Output
- polymorph energy (0 for the lowest one) (eV/atom) = 0.0048
- DOS(E_F) (states/eV/atom) = 0.29
- energy of formation (meV per atom) = -107

=====

Below is a relaxed structure of Cs4CdHg4, with properties calculated at the GGA-PBE level.

a b c (Å): 9.638 9.638 9.638
angles (deg): 131.71 131.71 70.69
Fractional positions:
Cs 0.077 0.645 0.000
Cs 0.355 0.355 0.432
Cs 0.645 0.077 0.000
Cs 0.923 0.923 0.568
Cd 0.500 0.500 0.000
Hg 0.166 0.166 0.554
Hg 0.388 0.834 0.000
Hg 0.612 0.612 0.446
Hg 0.834 0.388 0.000

Output
- DOS(E_F) (states/eV/atom) = 0.79
- energy of formation (meV per atom) = -173

=====

Below is a relaxed structure of CsCd3Hg2, with properties calculated at the GGA-PBE level.

a b c (Å): 9.537 9.537 9.641
angles (deg): 113.61 113.61 28.59
Fractional positions:
Cs 0.154 0.154 0.055
Cs 0.846 0.846 0.945
Cd 0.033 0.033 0.367
Cd 0.316 0.316 0.551
Cd 0.418 0.418 0.351
Cd 0.582 0.582 0.649
Cd 0.684 0.684 0.449
Cd 0.967 0.967 0.633
Hg 0.188 0.188 0.667
Hg 0.474 0.474 0.829
Hg 0.526 0.526 0.171
Hg 0.812 0.812 0.333

Output
- polymorph energy (0 for the lowest one) (eV/atom) = 0.0000
- DOS(E_F) (states/eV/atom) = 0.45
- energy of formation (meV per atom) = -111

=====

Below is a relaxed structure of Cs3Cd4Hg2, with properties calculated at the GGA-PBE level.

a b c (Å): 7.462 7.462 10.456
angles (deg): 99.49 99.49 42.29
Fractional positions:
Cs 0.000 0.000 0.000
Cs 0.334 0.334 0.335
Cs 0.666 0.666 0.665
Cd 0.056 0.056 0.387
Cd 0.275 0.275 0.948
Cd 0.725 0.725 0.052
Cd 0.944 0.944 0.613
Hg 0.388 0.388 0.722
Hg 0.612 0.612 0.278

Output
- polymorph energy (0 for the lowest one) (eV/atom) = 0.0046
- DOS(E_F) (states/eV/atom) = 0.75
- energy of formation (meV per atom) = -105

=====

Below is a relaxed structure of CsCd3Hg4, with properties calculated at the GGA-PBE level.

a b c (Å): 8.413 8.413 8.413
angles (deg): 90.00 90.00 90.00
Fractional positions:
Cs 0.000 0.000 0.000
Cs 0.500 0.500 0.500
Cd 0.000 0.250 0.500
Cd 0.000 0.750 0.500
Cd 0.250 0.500 0.000
Cd 0.500 0.000 0.250
Cd 0.500 0.000 0.750
Cd 0.750 0.500 0.000
Hg 0.250 0.250 0.250
Hg 0.250 0.250 0.750
Hg 0.250 0.750 0.250
Hg 0.250 0.750 0.750
Hg 0.750 0.250 0.250
Hg 0.750 0.250 0.750
Hg 0.750 0.750 0.250
Hg 0.750 0.750 0.750

Output
- DOS(E_F) (states/eV/atom) = 0.44
- energy of formation (meV per atom) = 33

=====

Below is a relaxed structure of Cs3Cd3Hg2, with properties calculated at the GGA-PBE level.

a b c (Å): 7.462 7.462 19.467
angles (deg): 90.00 90.00 139.80
Fractional positions:
Cs 0.045 0.955 0.604
Cs 0.045 0.955 0.896
Cs 0.351 0.649 0.750
Cs 0.649 0.351 0.250
Cs 0.955 0.045 0.104
Cs 0.955 0.045 0.396
Cd 0.313 0.687 0.536
Cd 0.313 0.687 0.964
Cd 0.353 0.647 0.250
Cd 0.647 0.353 0.750
Cd 0.687 0.313 0.036
Cd 0.687 0.313 0.464
Hg 0.242 0.758 0.112
Hg 0.242 0.758 0.388
Hg 0.758 0.242 0.612
Hg 0.758 0.242 0.888

Output
- DOS(E_F) (states/eV/atom) = 0.56
- energy of formation (meV per atom) = -129